This record from Alexandria via LeMat-Bulk describes a relaxed structure of Er3Al4Zn. The functional is PBE-GGA.

Results
Total magnetization = 0.00 μB/cell
Energy of formation from the pure elements = -272 kJ/mol of formula units
Calculated volume = 21.76 Å³ per atom
Fermi-level density of states = 0.537 states/eV per atom

Lattice parameters (Å, degrees): 5.8158 5.6429 10.6091 90.00 90.00 90.00
With the nearest neighbours (Å) after each atom.
Sites, in units of the cell vectors:
1 Zn 0.6666 0.5000 0.0000  4 Al 2.58-2.69, 4 Er 2.79-2.87
2 Zn 0.3334 0.0000 0.5000  4 Al 2.58-2.69, 4 Er 2.79-2.87
3 Al 0.3362 0.5000 0.8374  1 Zn 2.58, 2 Al 2.78
4 Al 0.3362 0.5000 0.1626  1 Zn 2.58, 2 Al 2.78
5 Al 0.0558 0.2435 0.0000  1 Zn 2.69, 4 Al 2.75-2.89
6 Al 0.0558 0.7565 0.0000  1 Zn 2.69, 4 Al 2.75-2.89
7 Al 0.9442 0.7435 0.5000  1 Zn 2.69, 4 Al 2.75-2.89
8 Al 0.9442 0.2565 0.5000  1 Zn 2.69, 4 Al 2.75-2.89
9 Al 0.6638 0.0000 0.3374  1 Zn 2.58, 2 Al 2.78
10 Al 0.6638 0.0000 0.6626  1 Zn 2.58, 2 Al 2.78
11 Er 0.5760 0.0000 0.0000  2 Zn 2.87, 2 Al 3.11
12 Er 0.4240 0.5000 0.5000  2 Zn 2.87, 2 Al 3.11
13 Er 0.8319 0.5000 0.7529  1 Zn 2.79, 4 Al 3.02-3.08
14 Er 0.8319 0.5000 0.2471  1 Zn 2.79, 4 Al 3.02-3.08
15 Er 0.1681 0.0000 0.7471  1 Zn 2.79, 4 Al 3.02-3.08
16 Er 0.1681 0.0000 0.2529  1 Zn 2.79, 4 Al 3.02-3.08